A plane-wave DFT calculation with PBE-GGA was carried out for Be15Cu2Mo2 after structural relaxation.

Values from the calculation:
D(E_F) ... 0.165 states/eV per atom
E_form ... -150 meV/atom
Electronic total energy ... -4.6629 eV per atom

abc: 5.5848 5.5848 5.5848
angles: 82.93 82.93 82.93
Positions (direct):
Be: 0.5000 0.0000 0.0000
Be: 0.0000 0.0000 0.5000
Be: 0.0000 0.5000 0.0000
Be: 0.0000 0.6967 0.3033
Be: 0.6967 0.3033 0.0000
Be: 0.3033 0.0000 0.6967
Be: 0.3033 0.6967 0.0000
Be: 0.6967 0.0000 0.3033
Be: 0.0000 0.3033 0.6967
Be: 0.1648 0.6493 0.6493
Be: 0.6493 0.6493 0.1648
Be: 0.6493 0.1648 0.6493
Be: 0.8352 0.3507 0.3507
Be: 0.3507 0.3507 0.8352
Be: 0.3507 0.8352 0.3507
Cu: 0.1058 0.1058 0.1058
Cu: 0.8942 0.8942 0.8942
Mo: 0.3479 0.3479 0.3479
Mo: 0.6521 0.6521 0.6521